Sc2CrTc, optimized geometry, DFT PBEsol; raw total energy = -8.552 eV per atom; crystal system = monoclinic
1.0
3.050 0.000 -0.001
0.000 4.015 0.000
-1.240 0.000 5.522
Cr Sc Tc
1 2 1
Cartesian
0.038 2.008 3.953 Cr
-1.163 0.000 5.316 Sc
1.896 2.008 1.584 Sc
0.704 0.000 2.952 Tc


Ho2AgAu, optimized geometry, DFT PBEsol; raw total energy = -4.899 eV per atom; crystal system = cubic
1.0
-0.394 -2.612 4.237
3.795 -0.084 3.243
-0.399 2.379 4.371
Au Ho Ag
1 2 1
Cartesian
0.000 0.000 0.000 Au
0.750 -0.079 2.963 Ho
2.251 -0.237 8.889 Ho
1.501 -0.158 5.926 Ag


MgBeIn2, optimized geometry, DFT PBEsol; raw total energy = -2.667 eV per atom; crystal system = monoclinic
1.0
-0.418 -3.458 -0.615
2.642 -0.880 3.147
-4.005 1.636 3.820
Be Mg In
1 1 2
Cartesian
-0.681 0.378 3.484 Be
1.112 -2.169 1.266 Mg
-3.274 -1.818 2.240 In
-1.150 -0.005 0.964 In


FeSb2Pb, optimized geometry, DFT PBEsol; formation energy from raw total energies = 273 meV per atom; crystal system = tetragonal
1.0
-2.404 1.863 1.272
-0.161 -1.996 2.619
5.555 4.562 3.817
Fe Pb Sb
1 1 2
Cartesian
2.569 2.110 1.765 Fe
2.607 3.128 4.618 Pb
0.140 0.115 0.096 Sb
0.452 1.358 3.137 Sb


Be4CoNi, optimized geometry, DFT PBEsol; raw total energy = -5.258 eV per atom; crystal system = cubic
1.0
4.103 0.000 0.000
2.052 3.553 0.000
2.052 1.184 3.350
Ni Co Be
1 1 4
Cartesian
0.000 0.000 0.000 Ni
6.155 3.553 2.513 Co
3.079 1.778 1.257 Be
4.103 2.369 2.930 Be
5.127 1.778 1.257 Be
4.103 3.552 1.257 Be


Be2PCl, optimized geometry, DFT PBEsol; formation energy from raw total energies = 566 meV per atom; crystal system = cubic
1.0
4.206 0.000 0.000
2.103 3.642 0.000
2.103 1.214 3.434
P Cl Be
1 1 2
Cartesian
4.206 2.428 1.717 P
0.000 0.000 0.000 Cl
2.103 1.214 0.858 Be
6.309 3.642 2.575 Be


Mn3BBr, optimized geometry, DFT PBEsol; formation energy from raw total energies = 1907 meV per atom; crystal system = cubic
1.0
4.391 0.000 0.000
0.000 4.391 0.000
0.000 0.000 4.391
B Mn Br
1 3 1
Cartesian
2.195 2.195 2.195 B
0.000 2.195 0.000 Mn
0.000 0.000 2.195 Mn
2.195 0.000 0.000 Mn
0.000 0.000 0.000 Br


FeCoOs2, optimized geometry, DFT PBEsol; raw total energy = -10.152 eV per atom; crystal system = orthorhombic
1.0
2.642 0.000 0.000
0.000 3.640 0.000
0.000 0.000 5.123
Co Fe Os
1 1 2
Cartesian
0.000 0.000 2.618 Co
1.321 1.820 3.765 Fe
0.000 0.000 5.096 Os
1.321 1.820 1.327 Os


CaIr2Ru, optimized geometry, DFT PBEsol; raw total energy = -7.673 eV per atom; crystal system = tetragonal
1.0
3.945 0.000 0.000
0.000 3.945 0.000
-1.973 -1.973 4.001
Ru Ca Ir
1 1 2
Cartesian
1.973 1.973 0.000 Ru
0.000 1.973 2.000 Ca
0.000 0.000 0.000 Ir
1.973 0.000 2.000 Ir


KCuAs2Se, optimized geometry, DFT PBEsol; formation energy from raw total energies = 121 meV per atom; crystal system = tetragonal
1.0
-2.277 0.453 -4.085
0.633 -4.575 -0.861
-4.440 -1.058 2.357
K As Cu Se
1 2 1 1
Cartesian
-3.042 -2.590 -1.294 K
0.317 -2.288 -0.430 As
-1.138 0.227 -2.042 As
0.000 0.000 0.000 Cu
-2.220 -0.529 1.179 Se


Hg2AuCl, optimized geometry, DFT PBEsol; formation energy from raw total energies = -6 meV per atom; crystal system = monoclinic
1.0
-0.965 0.791 2.690
-0.043 -4.962 1.686
4.880 0.575 1.822
Au Hg Cl
1 2 1
Cartesian
1.936 -1.798 3.099 Au
-0.021 -2.481 0.843 Hg
2.440 0.288 0.911 Hg
-0.482 0.396 1.345 Cl


TbB4Ru, optimized geometry, DFT PBEsol; raw total energy = -7.895 eV per atom; crystal system = orthorhombic
1.0
3.516 0.000 0.000
0.000 5.935 0.000
0.000 0.000 11.483
Tb B Ru
4 16 4
Cartesian
1.758 0.761 1.722 Tb
1.758 5.174 9.761 Tb
1.758 3.729 4.020 Tb
1.758 2.207 7.464 Tb
0.000 2.824 2.200 B
0.000 3.112 9.283 B
0.000 5.791 3.542 B
0.000 0.144 7.942 B
0.000 1.708 3.614 B
0.000 4.228 7.870 B
0.000 4.675 2.128 B
0.000 1.260 9.355 B
0.000 2.158 5.389 B
0.000 3.778 6.095 B
0.000 5.125 0.353 B
0.000 0.810 11.130 B
0.000 2.302 0.535 B
0.000 3.633 10.949 B
0.000 5.270 5.207 B
0.000 0.665 6.277 B
1.758 0.823 4.686 Ru
1.758 5.112 6.797 Ru
1.758 3.791 1.055 Ru
1.758 2.144 10.428 Ru


MnAs, optimized geometry, DFT PBEsol; raw total energy = -7.319 eV per atom; crystal system = hexagonal
1.0
-1.762 2.179 0.699
-0.622 -2.690 0.849
3.747 1.065 6.119
As Mn
2 2
Cartesian
0.000 0.000 0.000 As
1.874 0.533 3.060 As
1.428 1.355 5.339 Mn
-0.065 -0.800 2.329 Mn


K2BeFe, optimized geometry, DFT PBEsol; raw total energy = -2.422 eV per atom; crystal system = tetragonal
1.0
3.019 0.000 0.000
0.000 3.019 0.000
0.000 0.000 10.578
Be K Fe
1 2 1
Cartesian
1.509 1.509 0.000 Be
0.000 0.000 7.953 K
0.000 0.000 2.625 K
1.509 1.509 5.289 Fe